Record 1
A plane-wave DFT calculation with GGA-PBE was carried out for crystalline Dy2YSi2Pt7 at its relaxed geometry.

POSCAR file:
```
Dy2YSi2Pt7
1.0
4.0384 0.0148 -0.0740
0.0197 4.0384 -0.0740
1.7416 1.7394 13.5737
Dy Y Si Pt
2 1 2 7
Direct
0.8819 0.8819 0.3569 Dy
0.1181 0.1181 0.6431 Dy
0.0000 0.0000 0.0000 Y
0.5963 0.5963 0.7418 Si
0.4037 0.4037 0.2582 Si
0.5000 0.5000 0.0000 Pt
0.3655 0.3655 0.4285 Pt
0.6345 0.6345 0.5715 Pt
0.9389 0.4394 0.1624 Pt
0.4394 0.9389 0.1624 Pt
0.5606 0.0611 0.8376 Pt
0.0611 0.5606 0.8376 Pt
```

Results
energy: -82.22 eV for the cell shown
symmetry: C2/m, No. 12



Record 2
A plane-wave DFT calculation with GGA-PBE was carried out for crystalline LiFe2Ni4 at its relaxed geometry.

POSCAR file:
```
LiFe2Ni4
1.0
-3.1694 -1.1167 -1.3335
0.0632 -3.7787 3.0143
-2.3255 2.6724 3.2892
Li Fe Ni
1 2 4
Direct
0.5000 0.5000 0.5000 Li
0.0000 0.7906 0.2094 Fe
0.0000 0.2094 0.7906 Fe
0.0000 0.7213 0.7213 Ni
0.0000 0.2787 0.2787 Ni
0.5000 0.0000 0.5000 Ni
0.5000 0.5000 0.0000 Ni
```

Results
ΔE_f: 0.210 eV/atom
symmetry: Cmmm, No. 65



Total moment per entry: 0.00, 8.29 μB/f.u.